Record 1
BaZrN2O after structural relaxation. Source: the Alexandria database, functional GGA-PBE.

Lattice parameters (Å, degrees): 4.3694 4.3694 4.2874 90.00 90.00 90.00
Closest atoms and distances in Å follow each position.
Fractional coordinates of all 5 atoms:
O (0.0000, 0.0000, 0.5000)  2 Zr 2.14
Ba (0.5000, 0.5000, 0.5000)  8 N 3.06, 4 O 3.09
Zr (0.0000, 0.0000, 0.0000)  2 O 2.14, 4 N 2.18
N (0.0000, 0.5000, 0.0000)  2 Zr 2.18
N (0.5000, 0.0000, 0.0000)  2 Zr 2.18

## Properties
space-group type	No. 123
formation energy (no corrections)	-1210	meV/atom
VASP energy	-7.63	eV/atom
crystal system	tetragonal

=====

Record 2
ZrIBrN2 after structural relaxation. Source: the Alexandria database, functional GGA-PBE.

Lattice parameters (Å, degrees): 4.2195 4.2195 6.5177 90.00 90.00 90.00
Closest atoms and distances in Å follow each position.
Fractional coordinates of all 5 atoms:
I (0.0000, 0.0000, 0.5000)  4 Br 2.98, 2 Zr 3.26
Br (0.5000, 0.5000, 0.5000)  4 I 2.98
Zr (0.0000, 0.0000, 0.0000)  4 N 2.11
N (0.0000, 0.5000, 0.0000)  2 Zr 2.11
N (0.5000, 0.0000, 0.0000)  2 Zr 2.11

## Properties
space-group type	No. 123
formation energy (no corrections)	515	meV/atom
VASP energy	-5.17	eV/atom
excess energy over the best structure of this formula in the dataset	0.0	kJ/mol of formula units
crystal system	tetragonal